Here is a relaxed La4Ir2Cl3 crystal from the Alexandria database. Energies are from GGA-PBE.

Crystal system   monoclinic
Density   6348 kg/m³
Energy relative to the elements, uncorrected   -1.4884 eV per atom

Cell: 4.1724 4.1724 18.1572 Å, 90.06 90.06 60.00°
Fractional positions:
La  0.0013  0.0013  0.3036
La  0.3341  0.3341  0.1253
La  0.6659  0.6659  0.8747
La  0.9987  0.9987  0.6964
Ir  0.3324  0.3324  0.7907
Ir  0.6676  0.6676  0.2093
Cl  0.0000  0.0000  0.0000
Cl  0.3348  0.3348  0.4004
Cl  0.6652  0.6652  0.5996

Here is a relaxed DyHfMo4 crystal from the Alexandria database. Energies are from GGA-PBE.

Crystal system   cubic
Density   10607 kg/m³
DFT formation energy   -0.01 eV/atom

Cell: 5.4340 5.4340 5.4340 Å, 60.00 60.00 60.00°
Fractional positions:
Dy  0.0000  0.0000  0.0000
Hf  0.2500  0.2500  0.2500
Mo  0.1249  0.6250  0.6250
Mo  0.6250  0.1249  0.6250
Mo  0.6250  0.6250  0.1249
Mo  0.6250  0.6250  0.6250

Here is a relaxed Sc2InSe crystal from the Alexandria database. Energies are from GGA-PBE.

Crystal system   monoclinic
Density   5394 kg/m³
Energy relative to the elements, uncorrected   -0.6613 eV per atom
Relative energy among the computed polymorphs   326 meV/atom

Cell: 5.0831 5.0831 3.4858 Å, 97.08 97.08 99.02°
Fractional positions:
Sc  0.0000  0.5000  0.0000
Sc  0.5000  0.0000  0.0000
In  0.0000  0.0000  0.5000
Se  0.5000  0.5000  0.5000

Here is a relaxed LaPt10Pb crystal from the Alexandria database. Energies are from GGA-PBE.

Crystal system   orthorhombic
Density   16776 kg/m³
DFT formation energy   -0.43 eV/atom

Cell: 4.4314 5.4642 9.3893 Å, 90.00 90.00 90.00°
Fractional positions:
La  0.0000  0.0000  0.0000
Pt  0.0000  0.0000  0.3362
Pt  0.0000  0.0000  0.6638
Pt  0.0000  0.5000  0.1705
Pt  0.0000  0.5000  0.8295
Pt  0.5000  0.0000  0.5000
Pt  0.5000  0.2472  0.2466
Pt  0.5000  0.2472  0.7534
Pt  0.5000  0.5000  0.0000
Pt  0.5000  0.7528  0.2466
Pt  0.5000  0.7528  0.7534
Pb  0.0000  0.5000  0.5000

Here is a relaxed Zr2ScSb crystal from the Alexandria database. Energies are from GGA-PBE.

Crystal system   orthorhombic
Density   6201 kg/m³
Energy relative to the elements, uncorrected   -0.4698 eV per atom

Cell: 5.7818 5.7818 9.2987 Å, 90.00 90.00 143.01°
Fractional positions:
Zr  0.1337  0.8663  0.5326
Zr  0.1337  0.8663  0.9674
Zr  0.8663  0.1337  0.0326
Zr  0.8663  0.1337  0.4674
Sc  0.4452  0.5548  0.7500
Sc  0.5548  0.4452  0.2500
Sb  0.2691  0.7309  0.2500
Sb  0.7309  0.2691  0.7500

Here is a relaxed Mg2HgAs crystal from the Alexandria database. Energies are from GGA-PBE.

Crystal system   tetragonal
Density   6417 kg/m³
DFT formation energy   -0.20 eV/atom
Relative energy among the computed polymorphs   166 meV/atom

Cell: 5.8461 5.8461 5.8461 Å, 139.39 139.39 58.79°
Fractional positions:
Mg  0.0000  0.0000  0.0000
Mg  0.7500  0.2500  0.5000
Hg  0.5000  0.5000  0.0000
As  0.2500  0.7500  0.5000

Here is a relaxed Ho2CoS crystal from the Alexandria database. Energies are from GGA-PBE.

Crystal system   orthorhombic
Density   8491 kg/m³
Energy relative to the elements, uncorrected   -1.1057 eV per atom

Cell: 11.1745 11.1745 3.8487 Å, 90.00 90.00 159.97°
Fractional positions:
Ho  0.0670  0.9330  0.7500
Ho  0.3170  0.6830  0.7500
Ho  0.6830  0.3170  0.2500
Ho  0.9330  0.0670  0.2500
Co  0.4709  0.5291  0.7500
Co  0.5291  0.4709  0.2500
S  0.1927  0.8073  0.7500
S  0.8073  0.1927  0.2500

Here is a relaxed ScGaSn2 crystal from the Alexandria database. Energies are from GGA-PBE.

Crystal system   tetragonal
Density   6092 kg/m³
DFT formation energy   -0.15 eV/atom

Cell: 6.3884 6.3884 6.3884 Å, 103.09 103.09 123.16°
Fractional positions:
Sc  0.0000  0.0000  0.0000
Sc  0.7500  0.2500  0.5000
Ga  0.2500  0.7500  0.5000
Ga  0.5000  0.5000  0.0000
Sn  0.1547  0.6250  0.0297
Sn  0.3750  0.4047  0.5297
Sn  0.5953  0.1250  0.9703
Sn  0.8750  0.8453  0.4703

Here is a relaxed HfInAg crystal from the Alexandria database. Energies are from GGA-PBE.

Crystal system   orthorhombic
Density   10856 kg/m³
DFT formation energy   -0.05 eV/atom

Cell: 6.3254 4.3463 8.9281 Å, 90.00 90.00 90.00°
Fractional positions:
Hf  0.1430  0.2500  0.0820
Hf  0.3570  0.7500  0.5820
Hf  0.6430  0.2500  0.4180
Hf  0.8570  0.7500  0.9180
In  0.0894  0.2500  0.7408
In  0.4106  0.7500  0.2408
In  0.5894  0.2500  0.7592
In  0.9106  0.7500  0.2592
Ag  0.1390  0.2500  0.4171
Ag  0.3610  0.7500  0.9171
Ag  0.6390  0.2500  0.0829
Ag  0.8610  0.7500  0.5829

Here is a relaxed Sm7Si2Bi2 crystal from the Alexandria database. Energies are from GGA-PBE.

Crystal system   orthorhombic
Density   7222 kg/m³
Energy relative to the elements, uncorrected   -0.4136 eV per atom

Cell: 7.2134 7.2134 6.8687 Å, 90.00 90.00 100.86°
Fractional positions:
Sm  0.0000  0.0000  0.0000
Sm  0.0000  0.5000  0.2561
Sm  0.0000  0.5000  0.7439
Sm  0.5000  0.0000  0.2561
Sm  0.5000  0.0000  0.7439
Sm  0.5000  0.5000  0.2387
Sm  0.5000  0.5000  0.7613
Si  0.2710  0.7290  0.0000
Si  0.7290  0.2710  0.0000
Bi  0.1939  0.1939  0.5000
Bi  0.8061  0.8061  0.5000

Here is a relaxed InBiPbI6 crystal from the Alexandria database. Energies are from GGA-PBE.

Crystal system   trigonal
Density   4968 kg/m³
Energy relative to the elements, uncorrected   -0.5111 eV per atom

Cell: 8.0870 8.0870 15.2552 Å, 90.00 90.00 120.00°
Fractional positions:
In  0.0000  0.0000  0.0000
In  0.0000  0.0000  0.5000
Bi  0.3333  0.6667  0.2500
Bi  0.6667  0.3333  0.7500
Pb  0.3333  0.6667  0.7500
Pb  0.6667  0.3333  0.2500
I  0.0141  0.3637  0.1294
I  0.0141  0.6504  0.3706
I  0.3496  0.3637  0.3706
I  0.3496  0.9859  0.1294
I  0.3637  0.0141  0.6294
I  0.3637  0.3496  0.8706
I  0.6363  0.6504  0.1294
I  0.6363  0.9859  0.3706
I  0.6504  0.0141  0.8706
I  0.6504  0.6363  0.6294
I  0.9859  0.3496  0.6294
I  0.9859  0.6363  0.8706

Here is a relaxed CdH2CSe crystal from the Alexandria database. Energies are from GGA-PBE.

Energy   -2.796 eV/atom
Crystal system   tetragonal
Density   5262 kg/m³

Cell: 3.6106 3.6106 4.9720 Å, 90.00 90.00 90.00°
Fractional positions:
Cd  0.0000  0.0000  0.0000
H  0.0000  0.5000  0.5000
H  0.5000  0.0000  0.5000
C  0.0000  0.0000  0.5000
Se  0.5000  0.5000  0.0000

Here is a relaxed DyErFeAg crystal from the Alexandria database. Energies are from GGA-PBE.

Crystal system   cubic
Density   9860 kg/m³
DFT formation energy   -0.02 eV/atom

Cell: 4.8983 4.8983 4.8983 Å, 60.00 60.00 60.00°
Fractional positions:
Dy  0.0000  0.0000  0.0000
Er  0.5000  0.5000  0.5000
Fe  0.2500  0.2500  0.2500
Ag  0.7500  0.7500  0.7500

Here is a relaxed TbNd2Sm6Dy crystal from the Alexandria database. Energies are from GGA-PBE.

Crystal system   monoclinic
Density   7384 kg/m³
DFT formation energy   0.12 eV/atom

Cell: 8.9133 8.9133 9.8262 Å, 94.48 94.48 118.19°
Fractional positions:
Tb  0.0191  0.9809  0.7500
Tb  0.9809  0.0191  0.2500
Nd  0.1942  0.2966  0.5419
Nd  0.2966  0.1942  0.0419
Nd  0.7034  0.8058  0.9581
Nd  0.8058  0.7034  0.4581
Sm  0.0189  0.5748  0.6883
Sm  0.1233  0.7492  0.0560
Sm  0.2508  0.8767  0.4440
Sm  0.2921  0.5014  0.8799
Sm  0.4252  0.9811  0.8117
Sm  0.4986  0.7079  0.6201
Sm  0.5014  0.2921  0.3799
Sm  0.5748  0.0189  0.1883
Sm  0.7079  0.4986  0.1201
Sm  0.7492  0.1233  0.5560
Sm  0.8767  0.2508  0.9440
Sm  0.9811  0.4252  0.3117
Dy  0.4075  0.5925  0.2500
Dy  0.5925  0.4075  0.7500

Here is a relaxed CaTePdN2 crystal from the Alexandria database. Energies are from GGA-PBE.

Crystal system   tetragonal
Density   5054 kg/m³
Energy relative to the elements, uncorrected   0.7240 eV per atom
Relative energy among the computed polymorphs   0 meV/atom

Cell: 4.2056 4.2056 5.6122 Å, 90.00 90.00 90.00°
Fractional positions:
Ca  0.0000  0.0000  0.0000
Te  0.5000  0.5000  0.0000
Pd  0.5000  0.5000  0.5000
N  0.0000  0.5000  0.5000
N  0.5000  0.0000  0.5000

Here is a relaxed PuIn2Pb crystal from the Alexandria database. Energies are from GGA-PBE.

Crystal system   orthorhombic
Density   10463 kg/m³
DFT formation energy   -0.10 eV/atom
Relative energy among the computed polymorphs   100 meV/atom

Cell: 6.8429 6.8429 6.8429 Å, 122.10 85.21 123.51°
Fractional positions:
Pu  0.4946  0.2446  0.2500
Pu  0.5054  0.7554  0.7500
In  0.0000  0.2502  0.2502
In  0.0000  0.7498  0.7498
In  0.5000  0.2502  0.7502
In  0.5000  0.7498  0.2498
Pb  0.0064  0.2564  0.7500
Pb  0.9936  0.7436  0.2500

Here is a relaxed SrGa4Ni2Ir crystal from the Alexandria database. Energies are from GGA-PBE.

Crystal system   trigonal
Density   7904 kg/m³
DFT formation energy   -0.41 eV/atom

Cell: 9.8504 9.8504 9.8504 Å, 24.28 24.28 24.28°
Fractional positions:
Sr  0.0000  0.0000  0.0000
Ga  0.1310  0.1310  0.1310
Ga  0.4079  0.4079  0.4079
Ga  0.5921  0.5921  0.5921
Ga  0.8690  0.8690  0.8690
Ni  0.2238  0.2238  0.2238
Ni  0.7762  0.7762  0.7762
Ir  0.5000  0.5000  0.5000

Here is a relaxed NiRuS2Cl crystal from the Alexandria database. Energies are from GGA-PBE.

Crystal system   tetragonal
Density   4780 kg/m³
Energy relative to the elements, uncorrected   0.7481 eV per atom
Relative energy among the computed polymorphs   87 meV/atom

Cell: 4.4743 4.4743 4.5006 Å, 90.00 90.00 90.00°
Fractional positions:
Ni  0.0000  0.0000  0.0000
Ru  0.5000  0.5000  0.5000
S  0.0000  0.5000  0.0000
S  0.5000  0.0000  0.0000
Cl  0.0000  0.0000  0.5000

Here is a relaxed CoMoOs2 crystal from the Alexandria database. Energies are from GGA-PBE.

Crystal system   monoclinic
Density   15975 kg/m³
DFT formation energy   0.14 eV/atom
Relative energy among the computed polymorphs   106 meV/atom

Cell: 4.6732 4.6732 4.6455 Å, 99.75 99.75 33.87°
Fractional positions:
Co  0.0000  0.0000  0.0000
Mo  0.2500  0.2500  0.7653
Os  0.4951  0.4951  0.4806
Os  0.7487  0.7487  0.2590

Here is a relaxed BeAlCl2 crystal from the Alexandria database. Energies are from GGA-PBE.

Crystal system   monoclinic
Density   1544 kg/m³
Energy relative to the elements, uncorrected   -0.3783 eV per atom
Relative energy among the computed polymorphs   272 meV/atom

Cell: 3.4349 2.9854 11.2971 Å, 90.00 96.96 90.00°
Fractional positions:
Be  0.0000  0.0000  0.0000
Al  0.5000  0.0000  0.5000
Cl  0.1025  0.5000  0.8778
Cl  0.8975  0.5000  0.1222

Here is a relaxed SrAuBr4 crystal from the Alexandria database. Energies are from GGA-PBE.

Crystal system   tetragonal
Density   4802 kg/m³
Energy relative to the elements, uncorrected   -1.0558 eV per atom
Relative energy among the computed polymorphs   0 meV/atom

Cell: 6.4796 6.4796 6.4796 Å, 111.07 111.07 106.31°
Fractional positions:
Sr  0.0000  0.0000  0.0000
Au  0.2500  0.7500  0.5000
Br  0.0021  0.5000  0.0003
Br  0.4996  0.0018  0.9997
Br  0.5000  0.5004  0.5021
Br  0.9982  0.9979  0.4979

Here is a relaxed LaSmTlGe crystal from the Alexandria database. Energies are from GGA-PBE.

Crystal system   cubic
Density   8451 kg/m³
DFT formation energy   -0.48 eV/atom

Cell: 5.3988 5.3988 5.3988 Å, 60.00 60.00 60.00°
Fractional positions:
La  0.0000  0.0000  0.0000
Sm  0.5000  0.5000  0.5000
Tl  0.7500  0.7500  0.7500
Ge  0.2500  0.2500  0.2500

Here is a relaxed AcSmAg3 crystal from the Alexandria database. Energies are from GGA-PBE.

Crystal system   orthorhombic
Density   8626 kg/m³
DFT formation energy   -0.27 eV/atom

Cell: 14.3285 14.3285 4.8576 Å, 90.00 90.00 164.30°
Fractional positions:
Ac  0.0757  0.9243  0.7500
Ac  0.9243  0.0757  0.2500
Sm  0.2086  0.7914  0.2500
Sm  0.7914  0.2086  0.7500
Ag  0.3203  0.6797  0.2500
Ag  0.3764  0.6236  0.7500
Ag  0.4755  0.5245  0.7500
Ag  0.5245  0.4755  0.2500
Ag  0.6236  0.3764  0.2500
Ag  0.6797  0.3203  0.7500

Here is a relaxed Cs4LiHg5 crystal from the Alexandria database. Energies are from GGA-PBE.

Crystal system   tetragonal
Density   5783 kg/m³
DFT formation energy   -0.20 eV/atom

Cell: 9.1492 9.1492 9.1492 Å, 95.97 95.97 142.37°
Fractional positions:
Cs  0.0000  0.2867  0.2867
Cs  0.0000  0.7133  0.7133
Cs  0.2867  0.0000  0.2867
Cs  0.7133  0.0000  0.7133
Li  0.6561  0.6561  0.0000
Hg  0.1663  0.1663  0.0000
Hg  0.3341  0.3341  0.6684
Hg  0.3341  0.6656  0.0000
Hg  0.6656  0.3341  0.0000
Hg  0.6656  0.6656  0.3316